Entry from Alexandria via LeMat-Bulk: CdPd after structural relaxation (PBE). Values from VASP.

Output
* Fermi-level density of states: 0.30 states/eV/atom
* calculated formation energy: -197 meV/atom

The structure in Quantum ESPRESSO input format:
```
&SYSTEM
  ibrav = 0, nat = 12, ntyp = 2
/
ATOMIC_SPECIES
Cd 112.41 Cd.upf
Pd 106.42 Pd.upf
ATOMIC_POSITIONS angstrom
Cd 0.000 2.868 1.117
Cd -1.670 5.760 1.117
Cd 2.484 1.434 3.351
Cd 1.670 5.760 1.117
Cd 5.823 1.434 3.351
Cd 4.153 4.326 3.351
Pd -1.385 3.996 3.351
Pd 1.385 3.996 3.351
Pd 0.000 6.395 3.351
Pd 4.153 0.798 1.117
Pd 2.768 3.198 1.117
Pd 5.539 3.198 1.117
CELL_PARAMETERS angstrom
8.306 0.000 0.000
-4.153 7.194 0.000
0.000 0.000 4.468
```

Entry from Alexandria via LeMat-Bulk: RbCd5In7 after structural relaxation (PBE). Values from VASP.

Output
* Fermi-level density of states: 0.41 states/eV/atom
* calculated formation energy: -16 meV/atom

The structure in Quantum ESPRESSO input format:
```
&SYSTEM
  ibrav = 0, nat = 13, ntyp = 3
/
ATOMIC_SPECIES
Rb 85.47 Rb.upf
Cd 112.41 Cd.upf
In 114.82 In.upf
ATOMIC_POSITIONS angstrom
Rb 0.000 0.000 0.000
Cd -1.512 2.714 2.748
Cd 1.512 2.714 2.748
Cd 0.000 5.340 3.066
Cd -1.512 7.967 2.748
Cd 1.512 7.967 2.748
In 3.028 2.267 -0.004
In 3.028 0.000 2.387
In 3.028 -1.571 5.472
In 0.000 0.000 3.864
In 0.000 0.000 7.068
In 3.028 1.571 5.472
In 0.000 3.074 5.471
CELL_PARAMETERS angstrom
-3.028 5.340 5.475
3.028 -5.340 5.475
3.028 5.340 -5.475
```

Entry from Alexandria via LeMat-Bulk: KCdMo2 after structural relaxation (PBE). Values from VASP.

Output
* Fermi-level density of states: 0.89 states/eV/atom
* calculated formation energy: 777 meV/atom

The structure in Quantum ESPRESSO input format:
```
&SYSTEM
  ibrav = 0, nat = 4, ntyp = 3
/
ATOMIC_SPECIES
K 39.10 K.upf
Cd 112.41 Cd.upf
Mo 95.94 Mo.upf
ATOMIC_POSITIONS angstrom
K 0.000 0.000 0.000
Cd 0.000 0.000 8.022
Mo 0.000 0.000 16.661
Mo 0.000 0.000 25.495
CELL_PARAMETERS angstrom
1.441 0.832 11.205
-1.441 0.832 11.205
0.000 -1.664 11.205
```